(1)
The following is a DFT calculation (PBE) of a relaxed structure of Rb2Hf.

Results
Volume (Å³/cell): 272.5
Total magnetization (μB per cell): 4.70
Crystal system: cubic
Symmetry: Fd-3m, No. 227
Uncorrected energy (eV per atom): -2.386

```
data_Rb2Hf
_symmetry_space_group_name_H-M 'P 1'
_symmetry_Int_Tables_number 1
_symmetry_space_group_name_Hall 'P 1'
_cell_length_a 7.277
_cell_length_b 7.277
_cell_length_c 7.277
_cell_angle_alpha 60.00
_cell_angle_beta 60.00
_cell_angle_gamma 60.00
loop_
_atom_site_label
_atom_site_type_symbol
_atom_site_fract_x
_atom_site_fract_y
_atom_site_fract_z
_atom_site_occupancy
Rb1 Rb 0.625 0.625 0.125 1
Rb2 Rb 0.625 0.125 0.625 1
Rb3 Rb 0.125 0.625 0.625 1
Hf1 Hf 0.000 0.000 0.000 1
Rb4 Rb 0.625 0.625 0.625 1
Hf2 Hf 0.250 0.250 0.250 1
```


(2)
The following is a DFT calculation (PBE) of a relaxed structure of Zr3Ta.

Results
Volume (Å³/cell): 176.2
Energy of formation from the pure elements (meV/atom): 150
Total magnetization (μB per cell): 0.01
Crystal system: hexagonal
Symmetry: P6_3/mmc, No. 194

```
data_Zr3Ta
_symmetry_space_group_name_H-M 'P 1'
_symmetry_Int_Tables_number 1
_symmetry_space_group_name_Hall 'P 1'
_cell_length_a 6.289
_cell_length_b 6.289
_cell_length_c 5.143
_cell_angle_alpha 90.00
_cell_angle_beta 90.00
_cell_angle_gamma 120.00
loop_
_atom_site_label
_atom_site_type_symbol
_atom_site_fract_x
_atom_site_fract_y
_atom_site_fract_z
_atom_site_occupancy
Zr1 Zr 0.009 0.504 0.000 1
Zr2 Zr 0.325 0.162 0.500 1
Zr3 Zr 0.838 0.675 0.500 1
Zr4 Zr 0.838 0.162 0.500 1
Ta1 Ta 0.000 0.000 0.000 1
Zr5 Zr 0.496 0.504 0.000 1
Zr6 Zr 0.496 0.991 0.000 1
Ta2 Ta 0.333 0.667 0.500 1
```


(3)
The following is a DFT calculation (PBE) of a relaxed structure of ErFeB.

Results
Volume (Å³/cell): 172.2
Total magnetization (μB per cell): 3.78
Crystal system: orthorhombic
Symmetry: Pnma, No. 62
Uncorrected energy (eV per atom): -6.791

```
data_ErFeB
_symmetry_space_group_name_H-M 'P 1'
_symmetry_Int_Tables_number 1
_symmetry_space_group_name_Hall 'P 1'
_cell_length_a 6.302
_cell_length_b 3.429
_cell_length_c 7.966
_cell_angle_alpha 90.00
_cell_angle_beta 90.00
_cell_angle_gamma 90.00
loop_
_atom_site_label
_atom_site_type_symbol
_atom_site_fract_x
_atom_site_fract_y
_atom_site_fract_z
_atom_site_occupancy
B1 B 0.196 0.250 0.082 1
Fe1 Fe 0.634 0.750 0.539 1
Er1 Er 0.974 0.250 0.683 1
Er2 Er 0.474 0.250 0.817 1
Er3 Er 0.526 0.750 0.183 1
Fe2 Fe 0.866 0.250 0.039 1
B2 B 0.304 0.750 0.582 1
Fe3 Fe 0.134 0.750 0.961 1
Er4 Er 0.026 0.750 0.317 1
Fe4 Fe 0.366 0.250 0.461 1
B3 B 0.804 0.750 0.918 1
B4 B 0.696 0.250 0.418 1
```


(4)
The following is a DFT calculation (PBE) of a relaxed structure of LaCuSi2Tc.

Results
Volume (Å³/cell): 88.5
Total magnetization (μB per cell): 0.00
Crystal system: tetragonal
Symmetry: I-4m2, No. 119
Uncorrected energy (eV per atom): -6.501

```
data_LaCuSi2Tc
_symmetry_space_group_name_H-M 'P 1'
_symmetry_Int_Tables_number 1
_symmetry_space_group_name_Hall 'P 1'
_cell_length_a 5.991
_cell_length_b 5.991
_cell_length_c 5.991
_cell_angle_alpha 139.88
_cell_angle_beta 139.88
_cell_angle_gamma 58.04
loop_
_atom_site_label
_atom_site_type_symbol
_atom_site_fract_x
_atom_site_fract_y
_atom_site_fract_z
_atom_site_occupancy
Cu1 Cu 0.500 0.500 0.000 1
Si1 Si 0.875 0.375 0.500 1
La1 La 0.250 0.750 0.500 1
Tc1 Tc 0.000 0.000 0.000 1
Si2 Si 0.625 0.125 0.500 1
```


(5)
The following is a DFT calculation (PBE) of a relaxed structure of Ta12W17.

Results
Volume (Å³/cell): 502.5
Energy of formation from the pure elements (meV/atom): 316
Total magnetization (μB per cell): 0.04
Crystal system: cubic
Symmetry: I-43m, No. 217

```
data_Ta12W17
_symmetry_space_group_name_H-M 'P 1'
_symmetry_Int_Tables_number 1
_symmetry_space_group_name_Hall 'P 1'
_cell_length_a 8.674
_cell_length_b 8.674
_cell_length_c 8.674
_cell_angle_alpha 109.47
_cell_angle_beta 109.47
_cell_angle_gamma 109.47
loop_
_atom_site_label
_atom_site_type_symbol
_atom_site_fract_x
_atom_site_fract_y
_atom_site_fract_z
_atom_site_occupancy
W1 W 0.000 0.000 0.628 1
W2 W 0.723 0.315 0.315 1
Ta1 Ta 0.619 0.619 0.811 1
Ta2 Ta 0.192 0.000 0.381 1
W3 W 0.277 0.593 0.593 1
Ta3 Ta 0.808 0.808 0.189 1
W4 W 0.315 0.723 0.315 1
Ta4 Ta 0.000 0.381 0.192 1
Ta5 Ta 0.192 0.381 0.000 1
W5 W 0.372 0.372 0.372 1
W6 W 0.628 0.000 0.000 1
W7 W 0.685 0.407 0.000 1
W8 W 0.000 0.000 0.000 1
W9 W 0.000 0.628 0.000 1
W10 W 0.407 0.000 0.685 1
W11 W 0.685 0.000 0.407 1
Ta6 Ta 0.811 0.619 0.619 1
Ta7 Ta 0.381 0.000 0.192 1
Ta8 Ta 0.189 0.808 0.808 1
W12 W 0.407 0.685 0.000 1
Ta9 Ta 0.619 0.811 0.619 1
Ta10 Ta 0.381 0.192 0.000 1
W13 W 0.000 0.685 0.407 1
W14 W 0.315 0.315 0.723 1
W15 W 0.000 0.407 0.685 1
Ta11 Ta 0.000 0.192 0.381 1
W16 W 0.593 0.277 0.593 1
W17 W 0.593 0.593 0.277 1
Ta12 Ta 0.808 0.189 0.808 1
```


(6)
The following is a DFT calculation (PBE) of a relaxed structure of LiHfPd.

Results
Volume (Å³/cell): 59.1
Total magnetization (μB per cell): 0.00
Crystal system: cubic
Symmetry: F-43m, No. 216
Uncorrected energy (eV per atom): -5.796

```
data_LiHfPd
_symmetry_space_group_name_H-M 'P 1'
_symmetry_Int_Tables_number 1
_symmetry_space_group_name_Hall 'P 1'
_cell_length_a 4.373
_cell_length_b 4.373
_cell_length_c 4.373
_cell_angle_alpha 60.00
_cell_angle_beta 60.00
_cell_angle_gamma 60.00
loop_
_atom_site_label
_atom_site_type_symbol
_atom_site_fract_x
_atom_site_fract_y
_atom_site_fract_z
_atom_site_occupancy
Li1 Li 0.750 0.750 0.750 1
Pd1 Pd 0.000 0.000 0.000 1
Hf1 Hf 0.250 0.250 0.250 1
```